[1]
KTc | GGA-PBE | relaxed

The energy above the most stable polymorph in this dataset comes out at 443 meV per atom. For the formation energy from the elements, the calculation gives 1.1992 eV/atom.

It has space group P6_3/m (No. 176), with a = 14.2482 Å, b = 14.2482 Å, c = 3.4638 Å, α = 90.00°, β = 90.00° and γ = 120.00°. The inequivalent atoms are K at (0.1809, 0.4325, 0.2500) and Tc at (0.0322, 0.5579, 0.2500).

***

[2]
TbPmTl4 | GGA-PBE | relaxed

The energy above the most stable polymorph in this dataset comes out at 71 meV per atom. For the formation energy from the elements, the calculation gives -0.0166 eV/atom.

It has space group C2/m (No. 12), with a = 7.1726 Å, b = 7.1687 Å, c = 7.6800 Å, α = 90.00°, β = 90.08° and γ = 90.00°. The inequivalent atoms are Tb at (0.0000, 0.0000, 0.0000), Pm at (0.0000, 0.5000, 0.5000) and Tl at (0.2501, 0.2504, 0.2424).

***

[3]
BiTeRh2 | GGA-PBE | relaxed

For the uncorrected formation energy, the calculation gives 19 meV/atom. The energy above the most stable polymorph in this dataset comes out at 277 meV per atom.

It has space group I-42d (No. 122), with a = 4.7787 Å, b = 4.7787 Å, c = 16.2006 Å, α = 90.00°, β = 90.00° and γ = 90.00°. The inequivalent atoms are Bi at (0.0000, 0.0000, 0.0000), Te at (0.0000, 0.0000, 0.5000) and Rh at (0.2144, 0.2500, 0.6250).

***

[4]
Sr2LiAl2 | GGA-PBE | relaxed

The energy above the most stable polymorph in this dataset comes out at 0 meV per atom. For the formation energy from the elements, the calculation gives -0.1182 eV/atom.

It has space group Immm (No. 71), with a = 4.9756 Å, b = 5.7545 Å, c = 10.3704 Å, α = 90.00°, β = 90.00° and γ = 90.00°. The inequivalent atoms are Sr at (0.0000, 0.0000, 0.1905), Li at (0.0000, 0.5000, 0.0000) and Al at (0.0000, 0.2464, 0.5000).

***

[5]
LiInCl | GGA-PBE | relaxed

For the uncorrected formation energy, the calculation gives -888 meV/atom. The energy above the most stable polymorph in this dataset comes out at 49 meV per atom.

It has space group P3m1 (No. 156), with a = 3.6593 Å, b = 3.6593 Å, c = 6.3598 Å, α = 90.00°, β = 90.00° and γ = 120.00°. The inequivalent atoms are Li at (0.0000, 0.0000, 0.0000), In at (0.6667, 0.3333, 0.4006) and Cl at (0.3333, 0.6667, 0.8629).

***

[6]
CaMg2Zr | GGA-PBE | relaxed

For the formation energy from the elements, the calculation gives 0.0459 eV/atom.

It has space group P4/mmm (No. 123), with a = 3.4317 Å, b = 3.4317 Å, c = 8.7667 Å, α = 90.00°, β = 90.00° and γ = 90.00°. The inequivalent atoms are Ca at (0.0000, 0.0000, 0.0000), Mg at (0.5000, 0.5000, 0.2768) and Zr at (0.0000, 0.0000, 0.5000).

***

[7]
BeSiCl | GGA-PBE | relaxed

For the uncorrected formation energy, the calculation gives -244 meV/atom. The energy above the most stable polymorph in this dataset comes out at 28 meV per atom.

It has space group P1 (No. 1), with a = 3.6126 Å, b = 5.9427 Å, c = 6.6355 Å, α = 77.03°, β = 89.59° and γ = 72.31°. The inequivalent atoms are Be at (0.0000, 0.0000, 0.0000), Be at (0.2868, 0.4272, 0.8181), Si at (0.2011, 0.5935, 0.1177), Si at (0.8237, 0.3500, 0.1027), Cl at (0.1818, 0.6534, 0.5586) and Cl at (0.4687, 0.0671, 0.7951).